No. 1
An optimized crystal structure of SrLaY2Mn, computed with PBE.

Output
Calculated total energy: -5.552 eV/atom
ΔE_f: 0.190 eV per atom

Cell lengths 5.534, 5.534, 5.340 Å; angles 90.00, 90.00, 90.00 degrees
Fractional coordinates of all 5 atoms:
Sr 0.000 0.000 0.000
La 0.500 0.500 0.000
Y 0.000 0.500 0.500
Y 0.500 0.000 0.500
Mn 0.500 0.500 0.500



No. 2
An optimized crystal structure of Rb2NaVH6, computed with PBE.

Output
Calculated total energy: -3.356 eV/atom

Cell lengths 5.970, 5.970, 5.970 Å; angles 60.00, 60.00, 60.00 degrees
Fractional coordinates of all 10 atoms:
Rb 0.250 0.250 0.250
Rb 0.750 0.750 0.750
Na 0.000 0.000 0.000
V 0.500 0.500 0.500
H 0.284 0.284 0.716
H 0.284 0.716 0.284
H 0.284 0.716 0.716
H 0.716 0.284 0.284
H 0.716 0.284 0.716
H 0.716 0.716 0.284